## FeAsCl2 (GGA-PBE)

Data for an optimized crystal structure of FeAsCl2.

a = 6.399 Å, b = 6.399 Å, c = 6.399 Å
α = 121.85°, β = 121.85°, γ = 86.83°
Sites, in units of the cell vectors:
1 Fe 0.000 0.000 0.000
2 Fe 0.750 0.250 0.500
3 As 0.250 0.750 0.500
4 As 0.500 0.500 0.000
5 Cl 0.020 0.625 0.895
6 Cl 0.375 0.270 0.395
7 Cl 0.730 0.125 0.105
8 Cl 0.875 0.980 0.605

As for the energy relative to the lowest polymorph listed for this composition: 797 meV per atom. The space group is I-42d, No. 122. The formation energy (no corrections) comes out at 0.56 eV per atom.